This record from Alexandria describes crystalline ThTl2Sn at its relaxed geometry. The functional is PBE-GGA.

DFT formation energy = 184 meV/atom
polymorph energy (0 for the lowest one) = 440.7 meV/atom
space group = R-3m

```
ThTl2Sn
1.0
1.7443 1.0071 11.8275
-1.7443 1.0071 11.8275
0.0000 -2.0142 11.8275
Th Tl Sn
1 2 1
Cartesian
0.0000 0.0000 0.0000
0.0000 0.0000 3.2625
0.0000 0.0000 32.2200
0.0000 0.0000 17.7412
```